(1)
{"formula": "CsDySc", "functional": "PBE-GGA", "state": "optimized geometry", "lattice_angstrom": [[7.5758, 0.0000, 0.0000], [0.0000, 7.5758, 0.0000], [0.0000, 0.0000, 7.5758]], "species": ["Cs", "Cs", "Cs", "Cs", "Dy", "Dy", "Dy", "Dy", "Sc", "Sc", "Sc", "Sc"], "frac_coords": [[0.0000, 0.0000, 0.0000], [0.0000, 0.5000, 0.5000], [0.5000, 0.0000, 0.5000], [0.5000, 0.5000, 0.0000], [0.2500, 0.2500, 0.2500], [0.2500, 0.7500, 0.7500], [0.7500, 0.2500, 0.7500], [0.7500, 0.7500, 0.2500], [0.2500, 0.2500, 0.7500], [0.2500, 0.7500, 0.2500], [0.7500, 0.2500, 0.2500], [0.7500, 0.7500, 0.7500]], "magnetic_moment_mub_per_fu": 0.0, "polymorph_energy_mev_per_atom": 122, "space_group": "F-43m, No. 216"}

---

(2)
{"formula": "Cs2DyScSe4", "functional": "PBE-GGA", "state": "optimized geometry", "lattice_angstrom": [[4.1588, 0.0000, 0.0000], [-2.0794, 3.6016, 0.0000], [0.0000, 0.0000, 16.5618]], "species": ["Cs", "Cs", "Dy", "Sc", "Se", "Se", "Se", "Se"], "frac_coords": [[0.3333, 0.6667, 0.2549], [0.6667, 0.3333, 0.7451], [0.0000, 0.0000, 0.0000], [0.0000, 0.0000, 0.5000], [0.3333, 0.6667, 0.5859], [0.3333, 0.6667, 0.9042], [0.6667, 0.3333, 0.0958], [0.6667, 0.3333, 0.4141]], "magnetic_moment_mub_per_fu": 0.0, "space_group": "P-3m1, No. 164", "final_energy_ev_per_atom": -4.964}

---

(3)
{"formula": "CsDySnSe3", "functional": "PBE-GGA", "state": "optimized geometry", "lattice_angstrom": [[2.0697, -8.7306, 0.0000], [2.0697, 8.7306, 0.0000], [0.0000, 0.0000, 12.0134]], "species": ["Cs", "Cs", "Dy", "Dy", "Sn", "Sn", "Se", "Se", "Se", "Se", "Se", "Se"], "frac_coords": [[0.1993, 0.8007, 0.7500], [0.8007, 0.1993, 0.2500], [0.5000, 0.5000, 0.0000], [0.5000, 0.5000, 0.5000], [0.1039, 0.8961, 0.2500], [0.8961, 0.1039, 0.7500], [0.1117, 0.8883, 0.0080], [0.1117, 0.8883, 0.4920], [0.4973, 0.5027, 0.2500], [0.5027, 0.4973, 0.7500], [0.8883, 0.1117, 0.5080], [0.8883, 0.1117, 0.9920]], "magnetic_moment_mub_per_fu": 0.0, "polymorph_energy_mev_per_atom": 110, "space_group": "Cmcm, No. 63"}

---

(4)
{"formula": "CsDySnSe3", "functional": "PBE-GGA", "state": "optimized geometry", "lattice_angstrom": [[16.7165, 0.0000, 0.0000], [0.0000, 4.2135, 0.0000], [0.0000, 0.0000, 12.1456]], "species": ["Cs", "Cs", "Cs", "Cs", "Dy", "Dy", "Dy", "Dy", "Sn", "Sn", "Sn", "Sn", "Se", "Se", "Se", "Se", "Se", "Se", "Se", "Se", "Se", "Se", "Se", "Se"], "frac_coords": [[0.2320, 0.2500, 0.0785], [0.2680, 0.7500, 0.5785], [0.7320, 0.2500, 0.4215], [0.7680, 0.7500, 0.9215], [0.0065, 0.7500, 0.6436], [0.4935, 0.2500, 0.1436], [0.5065, 0.7500, 0.8564], [0.9935, 0.2500, 0.3564], [0.0372, 0.2500, 0.9090], [0.4628, 0.7500, 0.4090], [0.5372, 0.2500, 0.5910], [0.9628, 0.7500, 0.0910], [0.0809, 0.7500, 0.2379], [0.0956, 0.2500, 0.5418], [0.1261, 0.7500, 0.8213], [0.3739, 0.2500, 0.3213], [0.4044, 0.7500, 0.0418], [0.4191, 0.2500, 0.7379], [0.5809, 0.7500, 0.2621], [0.5956, 0.2500, 0.9582], [0.6261, 0.7500, 0.6787], [0.8739, 0.2500, 0.1787], [0.9044, 0.7500, 0.4582], [0.9191, 0.2500, 0.7621]], "magnetic_moment_mub_per_fu": 0.0, "polymorph_energy_mev_per_atom": 0, "space_group": "Pnma, No. 62"}

---

(5)
{"formula": "CsTbDySe3", "functional": "PBE-GGA", "state": "optimized geometry", "lattice_angstrom": [[2.2753, -8.1538, 0.0000], [2.2753, 8.1538, 0.0000], [0.0000, 0.0000, 11.2220]], "species": ["Cs", "Cs", "Tb", "Tb", "Dy", "Dy", "Se", "Se", "Se", "Se", "Se", "Se"], "frac_coords": [[0.2406, 0.7594, 0.7500], [0.7594, 0.2406, 0.2500], [0.0326, 0.9674, 0.2500], [0.9674, 0.0326, 0.7500], [0.5000, 0.5000, 0.0000], [0.5000, 0.5000, 0.5000], [0.1165, 0.8835, 0.0405], [0.1165, 0.8835, 0.4595], [0.4399, 0.5601, 0.2500], [0.5601, 0.4399, 0.7500], [0.8835, 0.1165, 0.5405], [0.8835, 0.1165, 0.9595]], "magnetic_moment_mub_per_fu": 0.1, "space_group": "Cmcm, No. 63", "final_energy_ev_per_atom": -4.980}

---

(6)
{"formula": "CsDyZnTeSe2", "functional": "PBE-GGA", "state": "optimized geometry", "lattice_angstrom": [[2.1263, -8.4557, 0.0000], [2.1263, 8.4557, 0.0000], [0.0000, 0.0000, 11.4644]], "species": ["Cs", "Cs", "Dy", "Dy", "Zn", "Zn", "Te", "Te", "Se", "Se", "Se", "Se"], "frac_coords": [[0.2353, 0.7647, 0.7500], [0.7647, 0.2353, 0.2500], [0.0000, 0.0000, 0.0000], [0.0000, 0.0000, 0.5000], [0.4717, 0.5283, 0.2500], [0.5283, 0.4717, 0.7500], [0.0729, 0.9271, 0.2500], [0.9271, 0.0729, 0.7500], [0.3933, 0.6067, 0.0678], [0.3933, 0.6067, 0.4322], [0.6067, 0.3933, 0.5678], [0.6067, 0.3933, 0.9322]], "magnetic_moment_mub_per_fu": 0.0, "space_group": "Cmcm, No. 63", "final_energy_ev_per_atom": -4.118}

---

(7)
{"formula": "CsDyZnSe3", "functional": "PBE-GGA", "state": "optimized geometry", "lattice_angstrom": [[2.0840, -8.1504, 0.0000], [2.0840, 8.1504, 0.0000], [0.0000, 0.0000, 10.9941]], "species": ["Cs", "Cs", "Dy", "Dy", "Zn", "Zn", "Se", "Se", "Se", "Se", "Se", "Se"], "frac_coords": [[0.2454, 0.7546, 0.7500], [0.7546, 0.2454, 0.2500], [0.5000, 0.5000, 0.0000], [0.5000, 0.5000, 0.5000], [0.0363, 0.9637, 0.2500], [0.9637, 0.0363, 0.7500], [0.1154, 0.8846, 0.0597], [0.1154, 0.8846, 0.4403], [0.4432, 0.5568, 0.2500], [0.5568, 0.4432, 0.7500], [0.8846, 0.1154, 0.5597], [0.8846, 0.1154, 0.9403]], "magnetic_moment_mub_per_fu": 0.0, "space_group": "Cmcm, No. 63", "final_energy_ev_per_atom": -4.291}

---

(8)
{"formula": "CsDySi", "functional": "PBE-GGA", "state": "optimized geometry", "lattice_angstrom": [[7.5805, 0.0000, 0.0000], [0.0000, 7.5805, 0.0000], [0.0000, 0.0000, 7.5805]], "species": ["Cs", "Cs", "Cs", "Cs", "Dy", "Dy", "Dy", "Dy", "Si", "Si", "Si", "Si"], "frac_coords": [[0.0000, 0.0000, 0.0000], [0.0000, 0.5000, 0.5000], [0.5000, 0.0000, 0.5000], [0.5000, 0.5000, 0.0000], [0.0000, 0.0000, 0.5000], [0.0000, 0.5000, 0.0000], [0.5000, 0.0000, 0.0000], [0.5000, 0.5000, 0.5000], [0.2500, 0.2500, 0.2500], [0.2500, 0.7500, 0.7500], [0.7500, 0.2500, 0.7500], [0.7500, 0.7500, 0.2500]], "magnetic_moment_mub_per_fu": 0.0, "space_group": "F-43m, No. 216", "final_energy_ev_per_atom": -3.155}